A plane-wave DFT calculation with PBE was carried out for a geometry-optimized PuCd11Cu structure.

```
data_PuCd11Cu
_space_group_name_H-M_alt 'P 1'
_space_group_IT_number 1
_cell_length_a 7.6655
_cell_length_b 7.6655
_cell_length_c 7.6000
_cell_angle_alpha 97.87
_cell_angle_beta 97.87
_cell_angle_gamma 135.89
loop_
_space_group_symop_operation_xyz
'x,y,z'
loop_
_atom_site_label
_atom_site_type_symbol
_atom_site_fract_x
_atom_site_fract_y
_atom_site_fract_z
Pu1 Pu 0.0000 0.0000 0.0000
Cd1 Cd 0.0000 0.0000 0.5000
Cd2 Cd 0.0000 0.5000 0.0000
Cd3 Cd 0.0159 0.3576 0.3572
Cd4 Cd 0.3022 0.5090 0.7824
Cd5 Cd 0.3576 0.0159 0.3572
Cd6 Cd 0.4910 0.6978 0.2176
Cd7 Cd 0.5000 0.0000 0.0000
Cd8 Cd 0.5090 0.3022 0.7824
Cd9 Cd 0.6424 0.9841 0.6428
Cd10 Cd 0.6978 0.4910 0.2176
Cd11 Cd 0.9841 0.6424 0.6428
Cu1 Cu 0.5000 0.5000 0.5000
```

Calculated values
SG ... C2/m, No. 12
Raw total energy ... -2.201 eV per atom
Crystal system ... monoclinic
Total moment ... 5.913 μB per formula unit
Energy of formation from the pure elements ... -0.009 eV per atom